(1)
A plane-wave DFT calculation with PBE was carried out for an optimized crystal structure of KLiRh3.

Computed properties:
Its crystal system is cubic. The relative energy among the computed polymorphs is 1.041 eV/atom. The calculation puts the energy relative to the elements at 9.9 eV/f.u.

Unit cell a=4.8279 b=4.8279 c=4.8279 alpha=90.00 beta=90.00 gamma=90.00
Fractional positions:
K1 0.0000 0.0000 0.0000
Li1 0.5000 0.5000 0.5000
Rh1 0.0000 0.0000 0.5000
Rh2 0.0000 0.5000 0.0000
Rh3 0.5000 0.0000 0.0000

=====

(2)
A plane-wave DFT calculation with PBE was carried out for an optimized crystal structure of KLiRh.

Computed properties:
Its crystal system is cubic. The relative energy among the computed polymorphs is 0.493 eV/atom. The calculation puts the energy relative to the elements at 2.4 eV/f.u.

Unit cell a=6.6972 b=6.6972 c=6.6972 alpha=90.00 beta=90.00 gamma=90.00
Fractional positions:
K1 0.0000 0.0000 0.0000
K2 0.0000 0.5000 0.5000
K3 0.5000 0.0000 0.5000
K4 0.5000 0.5000 0.0000
Li1 0.2500 0.2500 0.7500
Li2 0.2500 0.7500 0.2500
Li3 0.7500 0.2500 0.2500
Li4 0.7500 0.7500 0.7500
Rh1 0.0000 0.0000 0.5000
Rh2 0.0000 0.5000 0.0000
Rh3 0.5000 0.0000 0.0000
Rh4 0.5000 0.5000 0.5000

=====

(3)
A plane-wave DFT calculation with PBE was carried out for an optimized crystal structure of KLiRh2.

Computed properties:
Its crystal system is tetragonal. The relative energy among the computed polymorphs is 0.333 eV/atom. The calculation puts the energy relative to the elements at 2.2 eV/f.u.

Unit cell a=3.8290 b=3.8290 c=4.9176 alpha=90.00 beta=90.00 gamma=90.00
Fractional positions:
K1 0.0000 0.0000 0.0000
Li1 0.5000 0.5000 0.0000
Rh1 0.0000 0.5000 0.5000
Rh2 0.5000 0.0000 0.5000

=====

(4)
A plane-wave DFT calculation with PBE was carried out for an optimized crystal structure of KLiRh2.

Computed properties:
Its crystal system is orthorhombic. The relative energy among the computed polymorphs is 0.311 eV/atom. The calculation puts the energy relative to the elements at 2.1 eV/f.u.

Unit cell a=5.3439 b=9.8634 c=2.7310 alpha=90.00 beta=90.00 gamma=90.00
Fractional positions:
K1 0.0000 0.0000 0.0000
K2 0.5000 0.5000 0.0000
Li1 0.0000 0.5000 0.0000
Li2 0.5000 0.0000 0.0000
Rh1 0.2500 0.2500 0.5000
Rh2 0.2500 0.7500 0.5000
Rh3 0.7500 0.2500 0.5000
Rh4 0.7500 0.7500 0.5000

=====

(5)
A plane-wave DFT calculation with PBE was carried out for an optimized crystal structure of KLiRh2.

Computed properties:
Its crystal system is orthorhombic. The relative energy among the computed polymorphs is 0.151 eV/atom. The calculation puts the energy relative to the elements at 1.5 eV/f.u.

Unit cell a=2.8827 b=4.7069 c=9.8293 alpha=90.00 beta=90.00 gamma=90.00
Fractional positions:
K1 0.0000 0.0000 0.0000
K2 0.5000 0.5000 0.0000
Li1 0.0000 0.0000 0.5000
Li2 0.5000 0.5000 0.5000
Rh1 0.0000 0.5000 0.2808
Rh2 0.0000 0.5000 0.7192
Rh3 0.5000 0.0000 0.2808
Rh4 0.5000 0.0000 0.7192

=====

(6)
A plane-wave DFT calculation with PBE was carried out for an optimized crystal structure of KLiRh2.

Computed properties:
Its crystal system is orthorhombic. The relative energy among the computed polymorphs is 0.237 eV/atom. The calculation puts the energy relative to the elements at 1.8 eV/f.u.

Unit cell a=2.8476 b=4.7201 c=5.1303 alpha=90.00 beta=90.00 gamma=90.00
Fractional positions:
K1 0.0000 0.0000 0.0000
Li1 0.5000 0.5000 0.0000
Rh1 0.0000 0.5000 0.5000
Rh2 0.5000 0.0000 0.5000

=====

(7)
A plane-wave DFT calculation with PBE was carried out for an optimized crystal structure of KLiRh.

Computed properties:
Its crystal system is tetragonal. The relative energy among the computed polymorphs is 0.029 eV/atom. The calculation puts the energy relative to the elements at 1.0 eV/f.u.

Unit cell a=3.2807 b=3.2807 c=11.8962 alpha=90.00 beta=90.00 gamma=90.00
Fractional positions:
K1 0.0000 0.0000 0.0000
K2 0.5000 0.5000 0.5000
Li1 0.0000 0.0000 0.2749
Li2 0.5000 0.5000 0.7749
Rh1 0.0000 0.0000 0.6968
Rh2 0.5000 0.5000 0.1968

=====

(8)
A plane-wave DFT calculation with PBE was carried out for an optimized crystal structure of K2LiRhSe.

Computed properties:
Its crystal system is tetragonal. For the uncorrected formation energy, the calculation gives 0.34 eV/f.u.

Unit cell a=6.3631 b=6.3631 c=4.6526 alpha=90.00 beta=90.00 gamma=90.00
Fractional positions:
K1 0.0000 0.5000 0.0000
K2 0.5000 0.0000 0.0000
Li1 0.0000 0.0000 0.5000
Rh1 0.5000 0.5000 0.5000
Se1 0.0000 0.0000 0.0000

=====

We obtain total energy values of -15.15; -7.94; -15.50; -15.59; -16.23; -15.89; -9.33; -14.60 eV per formula unit for the records listed above, in that order.
We obtain size of the total moment values of 0.475; 0.341; 0.338; 0.343; 0.260; 0.000; 0.000; 0.397 μB per atom for the records listed above, in that order.
We obtain V values of 112.5; 300.4; 72.1; 143.9; 133.4; 69.0; 128.0; 188.4 Å³/cell for the records listed above, in that order.